A relaxed structure of Li2CoNiO4, computed with PBE+U.

Computed properties:
Energy above the lowest structure with this stoichiometry = 0.070 eV/atom
SG = P1
Electronic total energy = -5.21 eV/atom

Unit cell a=5.054 b=5.054 c=5.753 alpha=90.05 beta=89.96 gamma=110.73
Site moments in Bohr magnetons follow the coordinates.
Fractional coordinates of all 16 atoms:
Li 0.501 0.999 0.250  0.00
O 0.261 0.223 0.760  -0.10
O 0.785 0.736 0.238  0.15
Co 0.995 0.495 0.250  3.01
O 0.272 0.741 0.509  -0.03
Co 0.500 0.000 0.750  0.16
Li 0.003 0.997 0.504  0.00
Ni 0.496 0.504 0.506  1.35
Li 0.997 0.499 0.750  0.00
Li 0.497 0.504 0.996  0.00
O 0.766 0.221 0.991  -0.02
O 0.718 0.263 0.506  -0.02
O 0.723 0.760 0.740  -0.10
O 0.236 0.285 0.262  0.15
O 0.244 0.776 0.994  -0.02
Ni 0.005 0.997 0.995  1.35